# ScBeCd2, optimized geometry, DFT PBE
# electronic total energy = -11.59 eV/cell
data_ScBeCd2
_chemical_formula_sum 'Sc1 Be1 Cd2'
_symmetry_space_group_name_H-M 'P m m m'
_symmetry_Int_Tables_number 47
_cell_length_a 4.089
_cell_length_b 4.179
_cell_length_c 4.453
_cell_angle_alpha 90.00
_cell_angle_beta 90.00
_cell_angle_gamma 90.00
loop_
_symmetry_equiv_pos_as_xyz
'x,y,z'
'-x,-y,-z'
'-x,-y,z'
'x,y,-z'
'x,-y,-z'
'-x,y,z'
'-x,y,-z'
'x,-y,z'
loop_
_atom_site_label
_atom_site_type_symbol
_atom_site_fract_x
_atom_site_fract_y
_atom_site_fract_z
Sc1 Sc 0.000 0.000 0.000
Be1 Be 0.500 0.500 0.000
Cd1 Cd 0.000 0.500 0.500
Cd2 Cd 0.500 0.000 0.500


# Sr2LiGa, optimized geometry, DFT PBE
# electronic total energy = -13.52 eV/cell
data_Sr2LiGa
_chemical_formula_sum 'Sr4 Li2 Ga2'
_symmetry_space_group_name_H-M 'I m m m'
_symmetry_Int_Tables_number 71
_symmetry_space_group_name_Hall '-I 2 2'
_cell_length_a 3.864
_cell_length_b 6.490
_cell_length_c 13.578
_cell_angle_alpha 90.00
_cell_angle_beta 90.00
_cell_angle_gamma 90.00
loop_
_atom_site_label
_atom_site_type_symbol
_atom_site_fract_x
_atom_site_fract_y
_atom_site_fract_z
Sr1 Sr 0.000 0.000 0.232
Li1 Li 0.000 0.000 0.500
Ga1 Ga 0.000 0.000 0.000


# TiCu2Bi2, optimized geometry, DFT PBE
# electronic total energy = -45.69 eV/cell
data_TiCu2Bi2
_chemical_formula_sum 'Ti2 Cu4 Bi4'
_symmetry_space_group_name_H-M 'I 4/m m m'
_symmetry_Int_Tables_number 139
_symmetry_space_group_name_Hall '-I 4 2'
_cell_length_a 3.603
_cell_length_b 3.603
_cell_length_c 15.804
_cell_angle_alpha 90.00
_cell_angle_beta 90.00
_cell_angle_gamma 90.00
loop_
_atom_site_label
_atom_site_type_symbol
_atom_site_fract_x
_atom_site_fract_y
_atom_site_fract_z
Ti1 Ti 0.000 0.000 0.000
Cu1 Cu 0.000 0.500 0.250
Bi1 Bi 0.000 0.000 0.392


electronic total energy of number 1 (ScBeCd2)?
-11.59 eV/cell


Which of these has the lowest electronic total energy?
TiCu2Bi2


Which value of electronic total energy does entry 3 give?
-45.69 eV/cell


electronic total energy of number 3 (TiCu2Bi2)?
-45.69 eV/cell